Density functional theory data (GGA-PBE) for crystalline Tm7RhPb4 at its relaxed geometry.

Lattice parameters (Å, degrees): 8.2465 8.2465 11.3395 126.85 126.85 36.89
Positions (direct):
Tm 0.0000 0.0000 0.0000
Tm 0.1453 0.1453 0.5609
Tm 0.2753 0.2753 0.1321
Tm 0.4338 0.4338 0.7239
Tm 0.5662 0.5662 0.2761
Tm 0.7247 0.7247 0.8679
Tm 0.8547 0.8547 0.4391
Rh 0.5000 0.5000 0.0000
Pb 0.0819 0.0819 0.7750
Pb 0.2216 0.2216 0.3494
Pb 0.7784 0.7784 0.6506
Pb 0.9181 0.9181 0.2250

Values from the calculation:
Magnetization: 0.000 μB per atom
Raw total energy: -56.353 eV/cell
Space-group type: C2/m (12)


Density functional theory data (GGA-PBE) for crystalline Tm3RhPb2 at its relaxed geometry.

Lattice parameters (Å, degrees): 12.4387 4.3574 11.6017 90.00 90.00 90.00
Positions (direct):
Tm 0.0545 0.2500 0.1319
Tm 0.1204 0.7500 0.5392
Tm 0.2490 0.7500 0.2851
Tm 0.2510 0.2500 0.7851
Tm 0.3796 0.2500 0.0392
Tm 0.4455 0.7500 0.6319
Tm 0.5545 0.2500 0.3681
Tm 0.6204 0.7500 0.9608
Tm 0.7490 0.7500 0.2149
Tm 0.7510 0.2500 0.7149
Tm 0.8796 0.2500 0.4608
Tm 0.9455 0.7500 0.8681
Rh 0.1252 0.2500 0.3674
Rh 0.3748 0.7500 0.8674
Rh 0.6252 0.2500 0.1326
Rh 0.8748 0.7500 0.6326
Pb 0.0149 0.2500 0.6950
Pb 0.1830 0.7500 0.9972
Pb 0.3170 0.2500 0.4972
Pb 0.4851 0.7500 0.1950
Pb 0.5149 0.2500 0.8050
Pb 0.6830 0.7500 0.5028
Pb 0.8170 0.2500 0.0028
Pb 0.9851 0.7500 0.3050

Values from the calculation:
Magnetization: 0.000 μB per atom
Raw total energy: -126.860 eV/cell
Offset from the most stable computed form: 0 meV/atom
Space-group type: Pnma (62)


Density functional theory data (GGA-PBE) for crystalline Tm2RhPb at its relaxed geometry.

Lattice parameters (Å, degrees): 3.4514 3.4514 7.9119 90.00 90.00 90.00
Positions (direct):
Tm 0.0000 0.0000 0.2059
Tm 0.0000 0.0000 0.7941
Rh 0.5000 0.5000 0.0000
Pb 0.5000 0.5000 0.5000

Values from the calculation:
Magnetization: 0.000 μB per atom
Raw total energy: -22.845 eV/cell
Offset from the most stable computed form: 0 meV/atom
Space-group type: P4/mmm (123)


Density functional theory data (GGA-PBE) for crystalline Tm2Rh4Pb at its relaxed geometry.

Lattice parameters (Å, degrees): 8.0216 8.0216 8.0216 33.20 33.20 33.20
Positions (direct):
Tm 0.2427 0.2427 0.2427
Tm 0.7573 0.7573 0.7573
Rh 0.1236 0.1236 0.1236
Rh 0.3747 0.3747 0.3747
Rh 0.6253 0.6253 0.6253
Rh 0.8764 0.8764 0.8764
Pb 0.0000 0.0000 0.0000

Values from the calculation:
Magnetization: 0.000 μB per atom
Raw total energy: -44.781 eV/cell
Space-group type: R-3m (166)


Density functional theory data (GGA-PBE) for crystalline Tm2RhPb at its relaxed geometry.

Lattice parameters (Å, degrees): 4.8792 4.8792 3.8761 90.00 90.00 90.00
Positions (direct):
Tm 0.0000 0.5000 0.0000
Tm 0.5000 0.0000 0.0000
Rh 0.0000 0.0000 0.5000
Pb 0.5000 0.5000 0.5000

Values from the calculation:
Magnetization: 0.000 μB per atom
Raw total energy: -22.207 eV/cell
Offset from the most stable computed form: 159 meV/atom
Space-group type: P4/mmm (123)


Density functional theory data (GGA-PBE) for crystalline Tm2RhPb at its relaxed geometry.

Lattice parameters (Å, degrees): 8.7992 8.7992 8.7992 24.70 24.70 24.70
Positions (direct):
Tm 0.0000 0.0000 0.0000
Tm 0.2055 0.2055 0.2055
Rh 0.6030 0.6030 0.6030
Pb 0.7698 0.7698 0.7698

Values from the calculation:
Magnetization: 0.000 μB per atom
Raw total energy: -22.315 eV/cell
Offset from the most stable computed form: 132 meV/atom
Space-group type: R3m (160)


Density functional theory data (GGA-PBE) for crystalline TmRh3Pb at its relaxed geometry.

Lattice parameters (Å, degrees): 6.5408 6.5408 6.5408 129.26 109.57 91.84
Positions (direct):
Tm 0.2735 0.0235 0.2500
Tm 0.7265 0.9765 0.7500
Rh 0.0249 0.2749 0.7500
Rh 0.3077 0.0000 0.8077
Rh 0.3077 0.5000 0.3077
Rh 0.6923 0.0000 0.1923
Rh 0.6923 0.5000 0.6923
Rh 0.9751 0.7251 0.2500
Pb 0.0000 0.5000 0.5000
Pb 0.5000 0.5000 0.0000

Values from the calculation:
Magnetization: 0.000 μB per atom
Raw total energy: -63.714 eV/cell
Space-group type: Imma (74)


Density functional theory data (GGA-PBE) for crystalline Tm2Rh6Pb at its relaxed geometry.

Lattice parameters (Å, degrees): 8.0240 8.0240 8.0240 158.04 119.22 65.44
Positions (direct):
Tm 0.1627 0.1627 0.0000
Tm 0.8373 0.8373 0.0000
Rh 0.1169 0.3309 0.7860
Rh 0.2146 0.0000 0.2146
Rh 0.4551 0.6691 0.7860
Rh 0.5449 0.3309 0.2140
Rh 0.7854 0.0000 0.7854
Rh 0.8831 0.6691 0.2140
Pb 0.5000 0.5000 0.0000

Values from the calculation:
Magnetization: 0.000 μB per atom
Raw total energy: -58.246 eV/cell
Space-group type: Immm (71)